A plane-wave DFT calculation with GGA+U was carried out for a geometry-optimized NaTaFeO4 structure.

Geometry as extended XYZ:
```
14
Lattice="5.865 0.231 -0.227 0.146 6.204 -0.575 -2.634 -0.836 5.494" Properties=species:S:1:pos:R:3 pbc="T T T"
Na 1.088 3.728 4.481
Na 2.289 1.871 0.212
Ta 0.691 4.878 1.273
Ta 2.685 0.722 3.419
Fe 4.035 4.071 3.115
Fe -0.659 1.529 1.577
O 3.437 2.144 2.366
O 4.957 5.864 0.417
O -0.060 3.456 2.326
O -1.580 -0.264 4.275
O 1.494 4.106 -0.223
O 1.883 1.494 4.916
O 2.238 4.952 2.668
O 1.138 0.647 2.025
```

Calculated values
Crystal system: triclinic
DFT total energy (eV/atom): -7.75
SG: P-1 (2)